YFeSCl2: relaxed, PBE-GGA.

abc: 5.2203 5.2203 5.3355
angles: 90.00 90.00 90.00
Space group P4/mmm (No. 123)
Inequivalent atoms, fractional coordinates:
Y: 0.0000 0.0000 0.0000 x1
Fe: 0.5000 0.5000 0.5000 x1
S: 0.0000 0.0000 0.5000 x1
Cl: 0.0000 0.5000 0.0000 x2

E above lowest polymorph	0.086	eV/atom
crystal system	tetragonal
total energy	-25.88	eV for the cell shown
D(E_F)	8.8	states/eV per cell

---

Zr3Zn2Os: relaxed, PBE-GGA.

abc: 4.6788 4.6788 5.8079
angles: 90.00 90.00 120.00
Space group P-3m1 (No. 164)
Inequivalent atoms, fractional coordinates:
Zr: 0.0000 0.0000 0.0000 x1
Zr: 0.3333 0.6667 0.6663 x2
Zn: 0.3333 0.6667 0.1719 x2
Os: 0.0000 0.0000 0.5000 x1

E above lowest polymorph	0.011	eV/atom
crystal system	trigonal
total energy	-41.52	eV for the cell shown
D(E_F)	3.1	states/eV per cell

---

Ce2HoTl: relaxed, PBE-GGA.

abc: 4.5544 4.3112 11.5083
angles: 90.00 99.41 90.00
Space group P2_1/m (No. 11)
Inequivalent atoms, fractional coordinates:
Ce: 0.0025 0.2500 0.1129 x2
Ce: 0.3881 0.2500 0.8824 x2
Ho: 0.3021 0.7500 0.6075 x2
Tl: 0.1819 0.7500 0.3328 x2

E above lowest polymorph	0.000	eV/atom
crystal system	monoclinic
total energy	-38.85	eV for the cell shown
D(E_F)	14.9	states/eV per cell

---

ReSi2Se: relaxed, PBE-GGA.

abc: 8.4089 3.1590 4.8491
angles: 90.00 95.60 90.00
Space group C2/m (No. 12)
Inequivalent atoms, fractional coordinates:
Re: 0.0000 0.0000 0.0000 x2
Si: 0.2243 0.5000 0.1930 x4
Se: 0.0000 0.5000 0.5000 x2

crystal system	monoclinic
total energy	-50.90	eV for the cell shown
D(E_F)	2.5	states/eV per cell

---

PmSI: relaxed, PBE-GGA.

abc: 14.4288 4.3168 7.4520
angles: 90.00 90.00 90.00
Space group Aem2 (No. 39)
Inequivalent atoms, fractional coordinates:
Pm: 0.2052 0.2500 0.0000 x4
S: 0.1287 0.2500 0.3338 x4
I: 0.3527 0.2500 0.6664 x4

E above lowest polymorph	0.072	eV/atom
crystal system	orthorhombic
total energy	-62.45	eV for the cell shown
D(E_F)	0.0	states/eV per cell

---

Tm3Ge4Ir2: relaxed, PBE-GGA.

abc: 10.4318 4.4594 8.0904
angles: 90.00 110.24 90.00
Space group C2/m (No. 12)
Inequivalent atoms, fractional coordinates:
Tm: 0.0000 0.0000 0.0000 x2
Tm: 0.1803 0.5000 0.6428 x4
Ge: 0.0466 0.0000 0.3801 x4
Ge: 0.1871 0.5000 0.0239 x4
Ir: 0.0667 0.5000 0.2505 x4

E above lowest polymorph	0.008	eV/atom
crystal system	monoclinic
total energy	-113.64	eV for the cell shown
D(E_F)	4.3	states/eV per cell